! ErMoO5 | Alexandria via LeMat-Bulk | GGA+U | optimized geometry; values from VASP
&SYSTEM
  ibrav = 0, nat = 28, ntyp = 3
/
ATOMIC_SPECIES
O 16.00 O.upf
Mo 95.94 Mo.upf
Er 167.26 Er.upf
ATOMIC_POSITIONS angstrom
O -0.549 -7.295 1.704
O -4.763 -6.085 2.555
O -5.471 -7.162 6.029
O -4.157 -3.515 4.182
O -1.744 -5.264 0.611
O -8.779 -3.432 8.177
O -8.353 -3.205 5.272
O -6.941 -5.589 9.017
O -6.522 -3.968 1.948
O -9.973 -1.401 7.085
O -5.759 -2.611 6.233
O -2.170 -5.491 3.517
O -3.062 -7.724 -0.368
O -6.366 -5.181 4.607
O -8.248 -6.398 6.642
O -3.581 -3.107 -0.229
O -4.001 -4.728 6.841
O -2.274 -2.298 2.147
O -7.461 -0.972 9.156
O -5.052 -1.534 2.760
Mo -9.893 -2.981 6.119
Mo -0.630 -5.715 2.670
Mo -2.979 -2.146 3.765
Mo -7.544 -6.551 5.024
Er -4.072 -5.789 4.778
Er -9.243 -5.614 8.564
Er -6.450 -2.907 4.011
Er -1.279 -3.082 0.225
CELL_PARAMETERS angstrom
-8.376 1.404 9.201
-3.130 -3.584 -2.302
0.984 -6.517 1.890
! **Energy**: -7.324 eV/atom
! **D(E_F)**: 1.3 states/eV/f.u.